No. 1
# NaCa3Er2Se6 | Alexandria | PBE | relaxed
# Size of the total moment, μB per atom: 0.000
# Uncorrected formation energy, eV per atom: -1.85
data_NaCa3Er2Se6
_chemical_formula_sum 'Na2 Ca6 Er4 Se12'
_cell_length_a 7.1924
_cell_length_b 12.4433
_cell_length_c 7.1806
_cell_angle_alpha 90.00
_cell_angle_beta 109.50
_cell_angle_gamma 90.00
_space_group_name_H-M_alt 'C 1 2/m 1'
_space_group_IT_number 12
loop_
_space_group_symop_operation_xyz
'x,y,z'
'-x,-y,-z'
'-x,y,-z'
'x,-y,z'
'x+1/2,y+1/2,z'
'-x+1/2,-y+1/2,-z'
'-x+1/2,y+1/2,-z'
'x+1/2,-y+1/2,z'
loop_
_atom_site_label
_atom_site_type_symbol
_atom_site_fract_x
_atom_site_fract_y
_atom_site_fract_z
_atom_site_occupancy
Na1 Na 0.0000 0.0000 0.0000 1
Ca1 Ca 0.0000 0.1636 0.5000 1
Ca2 Ca 0.0000 0.5000 0.5000 1
Er1 Er 0.0000 0.3327 0.0000 1
Se1 Se 0.2382 0.5000 0.2418 1
Se2 Se 0.2472 0.3286 0.7568 1

No. 2
# NaCa2ErSe4 | Alexandria | PBE | relaxed
# Size of the total moment, μB per atom: 0.000
# Uncorrected formation energy, eV per atom: -1.83
data_NaCa2ErSe4
_chemical_formula_sum 'Na1 Ca2 Er1 Se4'
_cell_length_a 7.1688
_cell_length_b 4.1776
_cell_length_c 7.2368
_cell_angle_alpha 90.00
_cell_angle_beta 108.57
_cell_angle_gamma 90.00
_space_group_name_H-M_alt 'P 1 2/m 1'
_space_group_IT_number 10
loop_
_space_group_symop_operation_xyz
'x,y,z'
'-x,-y,-z'
'-x,y,-z'
'x,-y,z'
loop_
_atom_site_label
_atom_site_type_symbol
_atom_site_fract_x
_atom_site_fract_y
_atom_site_fract_z
_atom_site_occupancy
Na1 Na 0.0000 0.0000 0.0000 1
Ca1 Ca 0.5000 0.0000 0.5000 1
Ca2 Ca 0.5000 0.5000 0.0000 1
Er1 Er 0.0000 0.5000 0.5000 1
Se1 Se 0.2398 0.0000 0.7398 1
Se2 Se 0.2485 0.5000 0.2613 1

No. 3
# NaCaErSn | Alexandria | PBE | relaxed
# Energy relative to the elements, kJ per mole of atoms: -26.5
# Size of the total moment, μB per atom: 0.000
data_NaCaErSn
_chemical_formula_sum 'Na4 Ca4 Er4 Sn4'
_cell_length_a 7.6368
_cell_length_b 7.6368
_cell_length_c 7.6368
_cell_angle_alpha 90.00
_cell_angle_beta 90.00
_cell_angle_gamma 90.00
_space_group_name_H-M_alt 'F -4 3 m'
_space_group_IT_number 216
_space_group_name_Hall 'F -4 2 3'
loop_
_atom_site_label
_atom_site_type_symbol
_atom_site_fract_x
_atom_site_fract_y
_atom_site_fract_z
_atom_site_occupancy
Na1 Na 0.0000 0.0000 0.0000 1
Ca1 Ca 0.2500 0.2500 0.2500 1
Er1 Er 0.2500 0.2500 0.7500 1
Sn1 Sn 0.0000 0.0000 0.5000 1

No. 4
# NaCaErTl | Alexandria | PBE | relaxed
# Energy relative to the elements, kJ per mole of atoms: -9.5
# Size of the total moment, μB per atom: 0.000
data_NaCaErTl
_chemical_formula_sum 'Na4 Ca4 Er4 Tl4'
_cell_length_a 7.7263
_cell_length_b 7.7263
_cell_length_c 7.7263
_cell_angle_alpha 90.00
_cell_angle_beta 90.00
_cell_angle_gamma 90.00
_space_group_name_H-M_alt 'F -4 3 m'
_space_group_IT_number 216
_space_group_name_Hall 'F -4 2 3'
loop_
_atom_site_label
_atom_site_type_symbol
_atom_site_fract_x
_atom_site_fract_y
_atom_site_fract_z
_atom_site_occupancy
Na1 Na 0.0000 0.0000 0.0000 1
Ca1 Ca 0.2500 0.2500 0.7500 1
Er1 Er 0.2500 0.2500 0.2500 1
Tl1 Tl 0.0000 0.0000 0.5000 1

No. 5
# NaCaEr2Tl4 | Alexandria | PBE | relaxed
# Energy relative to the elements, kJ per mole of atoms: -27.3
# Size of the total moment, μB per atom: 0.000
data_NaCaEr2Tl4
_chemical_formula_sum 'Na3 Ca3 Er6 Tl12'
_cell_length_a 5.3578
_cell_length_b 5.3578
_cell_length_c 26.4138
_cell_angle_alpha 90.00
_cell_angle_beta 90.00
_cell_angle_gamma 120.00
_space_group_name_H-M_alt 'R -3 m'
_space_group_IT_number 166
_space_group_name_Hall '-R 3 2"'
loop_
_atom_site_label
_atom_site_type_symbol
_atom_site_fract_x
_atom_site_fract_y
_atom_site_fract_z
_atom_site_occupancy
Na1 Na 0.0000 0.0000 0.0000 1
Ca1 Ca 0.0000 0.0000 0.5000 1
Er1 Er 0.0000 0.0000 0.2519 1
Tl1 Tl 0.0000 0.0000 0.1231 1
Tl2 Tl 0.0000 0.0000 0.3738 1

No. 6
# CaEr2Nb | Alexandria | PBE | relaxed
# Energy relative to the elements, kJ per mole of atoms: 61.2
# Size of the total moment, μB per atom: 0.016
data_CaEr2Nb
_chemical_formula_sum 'Ca3 Er6 Nb3'
_cell_length_a 3.2976
_cell_length_b 3.2976
_cell_length_c 35.9604
_cell_angle_alpha 90.00
_cell_angle_beta 90.00
_cell_angle_gamma 120.00
_space_group_name_H-M_alt 'R -3 m'
_space_group_IT_number 166
_space_group_name_Hall '-R 3 2"'
loop_
_atom_site_label
_atom_site_type_symbol
_atom_site_fract_x
_atom_site_fract_y
_atom_site_fract_z
_atom_site_occupancy
Ca1 Ca 0.0000 0.0000 0.0000 1
Er1 Er 0.0000 0.0000 0.4200 1
Nb1 Nb 0.0000 0.0000 0.5000 1

No. 7
# CaNd15Er4 | Alexandria | PBE | relaxed
# Energy relative to the elements, kJ per mole of atoms: 2.0
# Size of the total moment, μB per atom: 0.000
data_CaNd15Er4
_chemical_formula_sum 'Ca1 Nd15 Er4'
_cell_length_a 5.1730
_cell_length_b 5.1730
_cell_length_c 25.7644
_cell_angle_alpha 90.00
_cell_angle_beta 90.00
_cell_angle_gamma 90.00
_space_group_name_H-M_alt 'P 4/m m m'
_space_group_IT_number 123
_space_group_name_Hall '-P 4 2'
loop_
_atom_site_label
_atom_site_type_symbol
_atom_site_fract_x
_atom_site_fract_y
_atom_site_fract_z
_atom_site_occupancy
Ca1 Ca 0.0000 0.0000 0.0000 1
Nd1 Nd 0.0000 0.5000 0.1041 1
Nd2 Nd 0.0000 0.5000 0.3017 1
Nd3 Nd 0.0000 0.5000 0.5000 1
Nd4 Nd 0.5000 0.5000 0.0000 1
Nd5 Nd 0.5000 0.5000 0.2017 1
Nd6 Nd 0.5000 0.5000 0.4004 1
Er1 Er 0.0000 0.0000 0.2017 1
Er2 Er 0.0000 0.0000 0.4009 1

No. 8
# CaNdEr | Alexandria | PBE | relaxed
# Energy relative to the elements, kJ per mole of atoms: 5.1
# Size of the total moment, μB per atom: 0.000
# ΔE to the lowest computed polymorph, meV per atom: 0.0
data_CaNdEr
_chemical_formula_sum 'Ca2 Nd2 Er2'
_cell_length_a 3.6899
_cell_length_b 6.3525
_cell_length_c 9.2889
_cell_angle_alpha 76.53
_cell_angle_beta 89.92
_cell_angle_gamma 89.96
_space_group_name_H-M_alt 'P -1'
_space_group_IT_number 2
loop_
_space_group_symop_operation_xyz
'x,y,z'
'-x,-y,-z'
loop_
_atom_site_label
_atom_site_type_symbol
_atom_site_fract_x
_atom_site_fract_y
_atom_site_fract_z
_atom_site_occupancy
Ca1 Ca 0.2499 0.2466 0.0044 1
Nd1 Nd 0.2507 0.4709 0.3450 1
Er1 Er 0.2494 0.0318 0.6505 1

No. 9
# CaNd8Er4 | Alexandria | PBE | relaxed
# Energy relative to the elements, kJ per mole of atoms: 3.8
# Size of the total moment, μB per atom: 0.000
data_CaNd8Er4
_chemical_formula_sum 'Ca2 Nd16 Er8'
_cell_length_a 11.4974
_cell_length_b 5.1564
_cell_length_c 15.0030
_cell_angle_alpha 90.00
_cell_angle_beta 94.04
_cell_angle_gamma 90.00
_space_group_name_H-M_alt 'C 1 2/m 1'
_space_group_IT_number 12
loop_
_space_group_symop_operation_xyz
'x,y,z'
'-x,-y,-z'
'-x,y,-z'
'x,-y,z'
'x+1/2,y+1/2,z'
'-x+1/2,-y+1/2,-z'
'-x+1/2,y+1/2,-z'
'x+1/2,-y+1/2,z'
loop_
_atom_site_label
_atom_site_type_symbol
_atom_site_fract_x
_atom_site_fract_y
_atom_site_fract_z
_atom_site_occupancy
Ca1 Ca 0.0000 0.0000 0.0000 1
Nd1 Nd 0.0403 0.5000 0.3860 1
Nd2 Nd 0.0756 0.0000 0.7655 1
Nd3 Nd 0.1933 0.5000 0.9196 1
Nd4 Nd 0.2342 0.0000 0.3106 1
Er1 Er 0.1215 0.5000 0.1594 1
Er2 Er 0.1519 0.0000 0.5370 1

No. 10
# CaNd2Er2 | Alexandria | PBE | relaxed
# Energy relative to the elements, kJ per mole of atoms: 3.6
# Size of the total moment, μB per atom: 0.000
data_CaNd2Er2
_chemical_formula_sum 'Ca2 Nd4 Er4'
_cell_length_a 5.5566
_cell_length_b 17.6538
_cell_length_c 3.5622
_cell_angle_alpha 90.00
_cell_angle_beta 90.00
_cell_angle_gamma 90.00
_space_group_name_H-M_alt 'C m m m'
_space_group_IT_number 65
_space_group_name_Hall '-C 2 2'
loop_
_atom_site_label
_atom_site_type_symbol
_atom_site_fract_x
_atom_site_fract_y
_atom_site_fract_z
_atom_site_occupancy
Ca1 Ca 0.0000 0.0000 0.0000 1
Nd1 Nd 0.0000 0.3774 0.5000 1
Er1 Er 0.0000 0.2010 0.0000 1